Record 1
{"formula": "Ag4PdF6", "functional": "GGA-PBE", "state": "relaxed", "lattice_angstrom": [[-1.2746, -0.9334, 6.5357], [-6.2880, -1.8569, -1.4915], [2.1913, -6.9647, -0.5674]], "species": ["F", "F", "F", "Pd", "F", "F", "F", "F", "F", "Ag", "Ag", "Pd", "F", "Ag", "Ag", "Ag", "Ag", "F", "Ag", "F", "Ag", "F"], "frac_coords": [[0.3121, 0.8880, 0.5000], [0.5000, 0.5000, 0.2940], [0.0000, 0.0000, 0.7940], [0.5000, 0.5000, 0.0000], [0.0000, 0.0000, 0.2060], [0.1879, 0.3880, 0.0000], [0.1120, 0.3121, 0.5000], [0.5000, 0.5000, 0.7060], [0.6879, 0.1120, 0.5000], [0.8481, 0.3481, 0.2500], [0.1519, 0.6519, 0.2500], [0.0000, 0.0000, 0.5000], [0.8121, 0.6120, 0.0000], [0.1519, 0.6519, 0.7500], [0.6519, 0.8481, 0.2500], [0.6519, 0.8481, 0.7500], [0.8481, 0.3481, 0.7500], [0.8880, 0.6879, 0.5000], [0.3481, 0.1519, 0.7500], [0.6120, 0.1879, 0.0000], [0.3481, 0.1519, 0.2500], [0.3880, 0.8121, 0.0000]], "spacegroup": "No. 128", "dft_energy_ev_per_atom": -3.469, "dos_ef_per_ev_atom": 0.1671, "m_tot_mub_per_fu": 2.0}



Record 2
{"formula": "AgPd3F", "functional": "GGA-PBE", "state": "relaxed", "lattice_angstrom": [[4.9858, 0.0000, 0.0000], [0.0000, 4.9858, 0.0000], [0.0000, 0.0000, 4.9858]], "species": ["Pd", "F", "Pd", "Pd", "Ag"], "frac_coords": [[0.0000, 0.0000, 0.5000], [0.5000, 0.5000, 0.5000], [0.0000, 0.5000, 0.0000], [0.5000, 0.0000, 0.0000], [0.0000, 0.0000, 0.0000]], "spacegroup": "No. 221", "dft_energy_ev_per_atom": -3.013, "dos_ef_per_ev_atom": 1.7305, "m_tot_mub_per_fu": 0.7}



- Which formula does entry 1 have?
  Ag4PdF6